VASP calculation (GGA-PBE) on a geometry-optimized K3Tb3TaO8 structure.

The density of states at the Fermi level is 0.208 states/eV/atom. As for the formation energy from raw total energies: -40.75 eV per formula unit. The calculation puts the mass density at 5.9 g cm⁻³.

Lattice parameters (Å, degrees): 7.4779 7.4779 7.4779 54.19 54.19 54.19
Closest atoms and distances in Å follow each position.
Fractional positions:
K 0.0000 0.5000 0.5000  6 O 2.78-2.81
K 0.5000 0.0000 0.5000  6 O 2.78-2.81
K 0.5000 0.5000 0.0000  6 O 2.78-2.81
Tb 0.0000 0.0000 0.5000  6 O 2.31-2.35
Tb 0.0000 0.5000 0.0000  6 O 2.31-2.35
Tb 0.5000 0.0000 0.0000  6 O 2.31-2.35
Ta 0.5000 0.5000 0.5000  6 O 2.07
O 0.2307 0.2307 0.2307  3 Tb 2.31
O 0.2594 0.7059 0.7059  1 Ta 2.07
O 0.2941 0.2941 0.7406  1 Ta 2.07
O 0.2941 0.7406 0.2941  1 Ta 2.07
O 0.7059 0.2594 0.7059  1 Ta 2.07
O 0.7059 0.7059 0.2594  1 Ta 2.07
O 0.7406 0.2941 0.2941  1 Ta 2.07
O 0.7693 0.7693 0.7693  3 Tb 2.31